[1]
The following is a DFT calculation (PBEsol) of an optimized crystal structure of AlAgSb2.

Properties
Energy relative to the elements, uncorrected = 0.20 eV/atom
Symmetry = I4/mmm (139)
Fermi-level density of states = 0.481 states/eV/atom

abc: 4.7292 5.1228 5.1228
angles: 54.87 62.51 62.51
Last column: nearest neighbours and their distance in Å.
Sites, in units of the cell vectors:
Sb (0.2498, 0.7502, 0.7502)  4 Ag 3.06, 4 Al 3.06, 4 Sb 3.34
Sb (0.7502, 0.2498, 0.2498)  4 Ag 3.06, 4 Al 3.06, 4 Sb 3.34
Al (0.5000, 0.0000, 0.0000)  8 Sb 3.06, 4 Ag 3.34
Ag (0.0000, 0.5000, 0.5000)  8 Sb 3.06, 4 Al 3.34

[2]
The following is a DFT calculation (PBEsol) of an optimized crystal structure of Al2AgSb2.

Properties
Energy relative to the elements, uncorrected = 0.16 eV/atom
Excess energy over the best structure of this formula in the dataset = 0 meV/atom
Symmetry = P4/mbm (127)
Fermi-level density of states = 0.415 states/eV/atom

abc: 4.2170 7.0900 7.0900
angles: 90.00 90.00 90.00
Last column: nearest neighbours and their distance in Å.
Sites, in units of the cell vectors:
Sb (0.5000, 0.1892, 0.6892)  2 Al 2.78
Sb (0.5000, 0.6892, 0.8108)  2 Al 2.78
Sb (0.5000, 0.8108, 0.3108)  2 Al 2.78
Sb (0.5000, 0.3108, 0.1892)  2 Al 2.78
Al (0.0000, 0.3695, 0.8695)  1 Al 2.62, 2 Sb 2.78, 2 Ag 2.78
Al (0.0000, 0.8695, 0.6305)  1 Al 2.62, 2 Sb 2.78, 2 Ag 2.78
Al (0.0000, 0.6305, 0.1305)  1 Al 2.62, 2 Sb 2.78, 2 Ag 2.78
Al (0.0000, 0.1305, 0.3695)  1 Al 2.62, 2 Sb 2.78, 2 Ag 2.78
Ag (0.0000, 0.0000, 0.0000)  4 Al 2.78
Ag (0.0000, 0.5000, 0.5000)  4 Al 2.78

[3]
The following is a DFT calculation (PBEsol) of an optimized crystal structure of AlAgSb2.

Properties
Energy relative to the elements, uncorrected = 0.06 eV/atom
Symmetry = P4/mmm (123)
Fermi-level density of states = 0.455 states/eV/atom

abc: 4.0055 4.0121 5.6559
angles: 89.96 90.00 90.00
Last column: nearest neighbours and their distance in Å.
Sites, in units of the cell vectors:
Sb (0.0000, 0.0000, 0.0000)  2 Al 2.83, 4 Ag 2.83
Sb (0.5000, 0.5000, 0.5000)  2 Ag 2.83, 4 Al 2.83
Al (0.0000, 0.0000, 0.5000)  6 Sb 2.83
Ag (0.5000, 0.5000, 0.0000)  6 Sb 2.83

[4]
The following is a DFT calculation (PBEsol) of an optimized crystal structure of AlAgSb2.

Properties
Energy relative to the elements, uncorrected = 0.21 eV/atom
Symmetry = Pmmm (47)
Fermi-level density of states = 0.508 states/eV/atom

abc: 3.9900 4.3292 5.0966
angles: 90.00 90.00 90.00
Last column: nearest neighbours and their distance in Å.
Sites, in units of the cell vectors:
Sb (0.0000, 0.0000, 0.0000)  4 Ag 2.94, 4 Al 3.24
Sb (0.0000, 0.5000, 0.5000)  4 Al 2.94, 4 Ag 3.24
Al (0.5000, 0.0000, 0.5000)  8 Sb 2.94-3.24
Ag (0.5000, 0.5000, 0.0000)  8 Sb 2.94-3.24

[5]
The following is a DFT calculation (PBEsol) of an optimized crystal structure of Al2AgSb2.

Properties
Energy relative to the elements, uncorrected = 0.24 eV/atom
Excess energy over the best structure of this formula in the dataset = 73 meV/atom
Symmetry = I4/mmm (139)
Fermi-level density of states = 0.418 states/eV/atom

abc: 3.9259 3.9259 7.8357
angles: 104.51 104.51 90.00
Last column: nearest neighbours and their distance in Å.
Sites, in units of the cell vectors:
Sb (0.6104, 0.6104, 0.2208)  4 Al 2.84
Sb (0.3896, 0.3896, 0.7792)  4 Al 2.84
Al (0.2500, 0.7500, 0.5000)  4 Al 2.78, 4 Sb 2.84
Al (0.7500, 0.2500, 0.5000)  4 Al 2.78, 4 Sb 2.84
Ag (0.0000, 0.0000, 0.0000)  8 Sb 3.21

[6]
The following is a DFT calculation (PBEsol) of an optimized crystal structure of TaAlAgSb2.

Properties
Energy relative to the elements, uncorrected = 1.21 eV/atom
Symmetry = P4/mmm (123)
Fermi-level density of states = 1.004 states/eV/atom

abc: 4.5728 5.1373 5.1373
angles: 90.00 90.00 90.00
Last column: nearest neighbours and their distance in Å.
Sites, in units of the cell vectors:
Sb (0.0000, 0.0000, 0.5000)  2 Al 2.57
Sb (0.0000, 0.5000, 0.0000)  2 Al 2.57
Al (0.0000, 0.0000, 0.0000)  2 Ag 2.29
Ag (0.5000, 0.0000, 0.0000)  2 Al 2.29
Ta (0.5000, 0.5000, 0.5000)  8 Sb 3.44, 4 Ag 3.63

[7]
The following is a DFT calculation (PBEsol) of an optimized crystal structure of ScAlAg2.

Properties
E_form = -0.199 eV per atom
Symmetry = C2/m (12)
Fermi-level density of states = 0.539 states/eV/atom

abc: 3.0221 4.9126 5.0905
angles: 99.80 90.00 107.91
Last column: nearest neighbours and their distance in Å.
Sites, in units of the cell vectors:
Sc (0.5000, 0.0000, 0.0000)  6 Ag 2.82-2.93, 4 Al 2.96, 2 Sc 3.02
Al (0.0000, 0.0000, 0.5000)  6 Ag 2.83-2.89, 4 Sc 2.96, 2 Al 3.02
Ag (0.7437, 0.4873, 0.7432)  3 Sc 2.82-2.93, 3 Al 2.83-2.89, 6 Ag 2.92-3.02
Ag (0.2563, 0.5127, 0.2568)  3 Sc 2.82-2.93, 3 Al 2.83-2.89, 6 Ag 2.92-3.02

[8]
The following is a DFT calculation (PBEsol) of an optimized crystal structure of ScAlAg2.

Properties
E_form = -0.191 eV per atom
Symmetry = P2/m (10)
Fermi-level density of states = 0.694 states/eV/atom

abc: 2.9690 4.4234 5.5033
angles: 90.00 98.92 90.00
Last column: nearest neighbours and their distance in Å.
Sites, in units of the cell vectors:
Sc (0.0000, 0.5000, 0.5000)  2 Al 2.92, 8 Ag 2.92-3.11, 2 Sc 2.97
Al (0.5000, 0.5000, 0.0000)  4 Ag 2.64, 2 Sc 2.92
Ag (0.6367, 0.0000, 0.7582)  2 Al 2.64, 2 Ag 2.83-2.90, 2 Sc 2.92
Ag (0.3633, 0.0000, 0.2418)  2 Al 2.64, 2 Ag 2.83-2.90, 2 Sc 2.92

[9]
The following is a DFT calculation (PBEsol) of an optimized crystal structure of ScAlAg.

Properties
E_form = -0.078 eV per atom
Symmetry = P3m1 (156)
Fermi-level density of states = 0.978 states/eV/atom

abc: 3.0464 3.0464 6.9050
angles: 90.00 90.00 120.00
Last column: nearest neighbours and their distance in Å.
Sites, in units of the cell vectors:
Sc (0.6667, 0.3333, 0.3347)  3 Al 2.95, 3 Ag 2.98, 6 Sc 3.05
Al (0.3333, 0.6667, 0.6781)  3 Ag 2.77, 3 Sc 2.95, 6 Al 3.05
Ag (0.0000, 0.0000, 0.9872)  3 Al 2.77, 3 Sc 2.98, 6 Ag 3.05

[10]
The following is a DFT calculation (PBEsol) of an optimized crystal structure of ScAlAg2.

Properties
E_form = -0.058 eV per atom
Symmetry = R3m (160)
Fermi-level density of states = 0.646 states/eV/atom

abc: 2.9955 2.9955 9.3540
angles: 80.79 80.79 60.00
Last column: nearest neighbours and their distance in Å.
Sites, in units of the cell vectors:
Sc (0.2491, 0.2491, 0.2527)  3 Al 2.94, 3 Ag 2.94, 6 Sc 3.00
Al (0.4961, 0.4961, 0.5117)  3 Ag 2.73, 3 Sc 2.94, 6 Al 3.00
Ag (0.0022, 0.0022, 0.9934)  9 Ag 2.89-3.00, 3 Sc 2.94
Ag (0.7526, 0.7526, 0.7421)  3 Al 2.73, 9 Ag 2.89-3.00

[11]
The following is a DFT calculation (PBEsol) of an optimized crystal structure of ScAlAg.

Properties
E_form = -0.167 eV per atom
Symmetry = F-43m (216)
Fermi-level density of states = 1.546 states/eV/atom

abc: 4.4412 4.4412 4.4412
angles: 60.00 60.00 60.00
Last column: nearest neighbours and their distance in Å.
Sites, in units of the cell vectors:
Sc (0.5000, 0.5000, 0.5000)  4 Ag 2.72
Al (0.0000, 0.0000, 0.0000)  4 Ag 2.72
Ag (0.2500, 0.2500, 0.2500)  4 Al 2.72, 4 Sc 2.72

[12]
The following is a DFT calculation (PBEsol) of an optimized crystal structure of ScAl3Ag.

Properties
E_form = 1.145 eV per atom
Symmetry = Pm-3m (221)
Fermi-level density of states = 0.898 states/eV/atom

abc: 5.1023 5.1023 5.1023
angles: 90.00 90.00 90.00
Last column: nearest neighbours and their distance in Å.
Sites, in units of the cell vectors:
Sc (0.0000, 0.0000, 0.0000)  6 Al 2.55
Al (0.0000, 0.5000, 0.0000)  2 Sc 2.55
Al (0.0000, 0.0000, 0.5000)  2 Sc 2.55
Al (0.5000, 0.0000, 0.0000)  2 Sc 2.55
Ag (0.5000, 0.5000, 0.5000)  12 Al 3.61

[13]
The following is a DFT calculation (PBEsol) of an optimized crystal structure of ScAlAg2.

Properties
E_form = -0.230 eV per atom
Symmetry = P4mm (99)
Fermi-level density of states = 0.593 states/eV/atom

abc: 3.2315 3.2315 6.7291
angles: 90.00 90.00 90.00
Last column: nearest neighbours and their distance in Å.
Sites, in units of the cell vectors:
Sc (0.5000, 0.5000, 0.7515)  4 Ag 2.89, 4 Al 2.96, 4 Sc 3.23
Al (0.0000, 0.0000, 0.4728)  4 Ag 2.69, 4 Sc 2.96
Ag (0.0000, 0.0000, 0.0134)  4 Ag 2.83, 4 Sc 2.89, 1 Al 3.09
Ag (0.5000, 0.5000, 0.2622)  4 Al 2.69, 4 Ag 2.83